No. 1
A crystal of ScGaCo2Os relaxed with PBEsol. Source: Alexandria, functional SCAN.

a b c (Å): 4.442 4.442 4.864
angles (deg): 90.00 90.00 90.00
Positions (direct):
Sc  0.000  0.000  0.500
Co  0.000  0.500  0.000
Co  0.500  0.000  0.000
Os  0.000  0.000  0.000
Ga  0.500  0.500  0.500

Summary:
* DOS at the Fermi energy: 3.54 states/eV per cell
* energy of formation from the pure elements: 0.8819 eV per atom


No. 2
A crystal of KBaLiZnF6 relaxed with PBEsol. Source: Alexandria, functional SCAN.

a b c (Å): 5.684 5.684 5.684
angles (deg): 60.00 60.00 60.00
Positions (direct):
K  0.000  0.000  0.000
Ba  0.500  0.500  0.500
Li  0.750  0.750  0.750
Zn  0.250  0.250  0.250
F  0.501  0.999  0.999
F  0.501  0.999  0.501
F  0.501  0.501  0.999
F  0.999  0.501  0.999
F  0.999  0.999  0.501
F  0.999  0.501  0.501

Summary:
* DOS at the Fermi energy: 0.00 states/eV per cell
* ΔE_f (raw): -3.26 eV/atom


No. 3
A crystal of ZrZnAg relaxed with PBEsol. Source: Alexandria, functional SCAN.

a b c (Å): 2.856 4.556 4.556
angles (deg): 120.00 90.00 90.00
Positions (direct):
Zn  0.000  0.667  0.333
Zr  0.500  0.333  0.667
Ag  0.000  0.000  0.000

Summary:
* DOS at the Fermi energy: 1.94 states/eV per cell
* energy of formation from the pure elements: -0.2259 eV per atom


No. 4
A crystal of CaSc2Ru relaxed with PBEsol. Source: Alexandria, functional SCAN.

a b c (Å): 4.850 4.850 4.850
angles (deg): 60.00 60.00 60.00
Positions (direct):
Sc  0.000  0.000  0.000
Sc  0.250  0.250  0.250
Ru  0.750  0.750  0.750
Ca  0.500  0.500  0.500

Summary:
* offset from the most stable computed form: 494 meV/atom
* DOS at the Fermi energy: 4.34 states/eV per cell
* energy of formation from the pure elements: 0.1462 eV per atom


No. 5
A crystal of FeSbTe relaxed with PBEsol. Source: Alexandria, functional SCAN.

a b c (Å): 3.503 5.451 6.298
angles (deg): 91.62 90.00 90.00
Positions (direct):
Sb  0.500  0.703  0.145
Sb  0.500  0.297  0.855
Te  0.000  0.214  0.354
Te  0.000  0.786  0.646
Fe  0.500  0.500  0.500
Fe  0.000  0.000  0.000

Summary:
* DOS at the Fermi energy: 2.09 states/eV per cell
* ΔE_f (raw): -0.06 eV/atom


No. 6
A crystal of Zn3Ag relaxed with PBEsol. Source: Alexandria, functional SCAN.

a b c (Å): 2.796 4.657 4.755
angles (deg): 100.24 107.10 90.00
Positions (direct):
Zn  0.753  0.256  0.506
Zn  0.500  0.500  0.000
Zn  0.247  0.744  0.494
Ag  0.000  0.000  0.000

Summary:
* DOS at the Fermi energy: 0.87 states/eV per cell
* energy of formation from the pure elements: 0.0092 eV per atom


No. 7
A crystal of SrTl3Cl relaxed with PBEsol. Source: Alexandria, functional SCAN.

a b c (Å): 6.187 6.187 6.187
angles (deg): 90.00 90.00 90.00
Positions (direct):
Sr  0.000  0.000  0.000
Tl  0.000  0.500  0.000
Tl  0.000  0.000  0.500
Tl  0.500  0.000  0.000
Cl  0.500  0.500  0.500

Summary:
* DOS at the Fermi energy: 7.43 states/eV per cell
* ΔE_f (raw): 0.32 eV/atom


No. 8
A crystal of Li3Ag relaxed with PBEsol. Source: Alexandria, functional SCAN.

a b c (Å): 4.596 5.715 5.715
angles (deg): 119.96 90.00 90.00
Positions (direct):
Ag  0.750  0.667  0.333
Ag  0.250  0.333  0.667
Li  0.750  0.173  0.827
Li  0.250  0.827  0.173
Li  0.750  0.655  0.828
Li  0.250  0.345  0.172
Li  0.250  0.828  0.655
Li  0.750  0.172  0.345

Summary:
* offset from the most stable computed form: 15 meV/atom
* DOS at the Fermi energy: 2.78 states/eV per cell
* energy of formation from the pure elements: -0.1498 eV per atom